# AcPm2Sm2Y2 PBE optimized geometry
data_AcPm2Sm2Y2
_chemical_formula_sum 'Ac2 Pm4 Sm4 Y4'
_symmetry_space_group_name_H-M 'C 1 2/m 1'
_symmetry_Int_Tables_number 12
_symmetry_space_group_name_Hall '-C 2y'
_cell_length_a 11.609
_cell_length_b 5.204
_cell_length_c 8.202
_cell_angle_alpha 90.00
_cell_angle_beta 98.37
_cell_angle_gamma 90.00
loop_
_atom_site_label
_atom_site_type_symbol
_atom_site_fract_x
_atom_site_fract_y
_atom_site_fract_z
_atom_site_occupancy
Ac1 Ac 0.000 0.000 0.000 1
Pm1 Pm 0.215 0.500 0.149 1
Sm1 Sm 0.073 0.500 0.709 1
Y1 Y 0.143 0.000 0.434 1
# Crystal system: monoclinic
# E_form (eV per formula unit): 0.22
# VASP energy (eV/atom): -5.1076
# D(E_F) (states/eV/cell): 21.6
# V (Å³ per cell): 490